# BaB3Mo (PBEsol, relaxed)
data_BaB3Mo
_chemical_formula_sum 'Ba1 B3 Mo1'
_cell_length_a 4.461
_cell_length_b 4.461
_cell_length_c 4.461
_cell_angle_alpha 90.00
_cell_angle_beta 90.00
_cell_angle_gamma 90.00
_symmetry_space_group_name_H-M 'P m -3 m'
_symmetry_Int_Tables_number 221
_symmetry_space_group_name_Hall '-P 4 2 3'
loop_
_atom_site_label
_atom_site_fract_x
_atom_site_fract_y
_atom_site_fract_z
_atom_site_occupancy
Ba1 0.000 0.000 0.000 1
B1 0.000 0.000 0.500 1
Mo1 0.500 0.500 0.500 1
# Energy of formation = 3357 meV/atom

# Ba4Nd7Si12BN27 (PBEsol, relaxed)
data_Ba4Nd7Si12BN27
_chemical_formula_sum 'Ba4 Nd7 Si12 B1 N27'
_cell_length_a 12.2486
_cell_length_b 12.2486
_cell_length_c 5.4189
_cell_angle_alpha 90.00
_cell_angle_beta 90.00
_cell_angle_gamma 120.00
_symmetry_space_group_name_H-M 'P -6'
_symmetry_Int_Tables_number 174
loop_
_symmetry_equiv_pos_as_xyz
'x,y,z'
'-x+y,-x,-z'
'-y,x-y,z'
'x,y,-z'
'-x+y,-x,z'
'-y,x-y,-z'
loop_
_atom_site_label
_atom_site_fract_x
_atom_site_fract_y
_atom_site_fract_z
_atom_site_occupancy
Ba1 0.0000 0.0000 0.0000 1
Ba2 0.1781 0.4144 0.0000 1
Nd1 0.3433 0.3018 0.5000 1
Nd2 0.4479 0.0875 0.5000 1
Nd3 0.6667 0.3333 0.0000 1
Si1 0.1596 0.0270 0.5000 1
Si2 0.1727 0.6007 0.5000 1
Si3 0.3459 0.1375 0.0000 1
Si4 0.4774 0.4540 0.0000 1
B1 0.6667 0.3333 0.5000 1
N1 0.0270 0.8821 0.5000 1
N2 0.0674 0.5597 0.2583 1
N3 0.2394 0.5076 0.5000 1
N4 0.2605 0.0569 0.2546 1
N5 0.3819 0.2925 0.0000 1
N6 0.4843 0.1256 0.0000 1
N7 0.5392 0.3159 0.5000 1
# Formation energy from raw total energies = -70.98 eV per formula unit

One value per record, in order, for VASP energy: -3.64; -8.27 eV per atom.